Below is a relaxed VZnAsO6 crystal, with properties calculated at the GGA+U level.

Lattice parameters (Å, degrees): 4.927 4.927 9.075 90.00 90.00 120.00
Atoms (fractional coordinates):
O (0.994, 0.360, 0.637)
O (0.634, 0.994, 0.363)
O (0.006, 0.640, 0.363)
O (0.640, 0.634, 0.637)
O (0.994, 0.634, 0.863)
O (0.360, 0.366, 0.363)
O (0.366, 0.006, 0.637)
O (0.360, 0.994, 0.137)
O (0.640, 0.006, 0.863)
O (0.006, 0.366, 0.137)
O (0.366, 0.360, 0.863)
O (0.634, 0.640, 0.137)
V (0.667, 0.333, 0.250)
V (0.333, 0.667, 0.750)
Zn (0.000, 0.000, 0.000)
Zn (0.000, 0.000, 0.500)
As (0.333, 0.667, 0.250)
As (0.667, 0.333, 0.750)

Values from the calculation:
Total moment (Bohr magnetons per cell): 0.00
Space group: P-31c, No. 163
Calculated total energy (eV per atom): -6.224
Crystal system: trigonal